A relaxed structure of TlAgGeTeSe2, computed with PBE-GGA.

Summary:
DFT total energy = -3.44 eV per atom

Geometry as CIF:
```
data_TlAgGeTeSe2
_chemical_formula_sum 'Tl2 Ag2 Ge2 Te2 Se4'
_space_group_name_H-M_alt 'P 1'
_space_group_IT_number 1
_space_group_name_Hall 'P 1'
_cell_length_a 7.980
_cell_length_b 7.980
_cell_length_c 11.329
_cell_angle_alpha 90.00
_cell_angle_beta 90.00
_cell_angle_gamma 153.66
loop_
_atom_site_label
_atom_site_fract_x
_atom_site_fract_y
_atom_site_fract_z
_atom_site_occupancy
Se1 0.623 0.377 0.522 1
Te1 0.960 0.040 0.750 1
Se2 0.377 0.623 0.022 1
Ag1 0.384 0.616 0.250 1
Te2 0.040 0.960 0.250 1
Tl1 0.721 0.279 0.250 1
Tl2 0.279 0.721 0.750 1
Ge1 0.000 0.000 0.500 1
Ge2 0.000 0.000 0.000 1
Se3 0.377 0.623 0.478 1
Se4 0.623 0.377 0.978 1
Ag2 0.616 0.384 0.750 1
```


A relaxed structure of CuPd2Pt3, computed with PBE-GGA.

Summary:
size of the total moment = 0.042 μB/cell
ΔE_f = -0.079 eV/atom
DFT total energy = -5.45 eV per atom

Geometry as CIF:
```
data_CuPd2Pt3
_chemical_formula_sum 'Cu1 Pd2 Pt3'
_space_group_name_H-M_alt 'P 1'
_space_group_IT_number 1
_space_group_name_Hall 'P 1'
_cell_length_a 2.767
_cell_length_b 2.767
_cell_length_c 13.583
_cell_angle_alpha 90.00
_cell_angle_beta 90.00
_cell_angle_gamma 120.00
loop_
_atom_site_label
_atom_site_fract_x
_atom_site_fract_y
_atom_site_fract_z
_atom_site_occupancy
Pt1 0.667 0.333 0.844 1
Pt2 0.000 0.000 0.500 1
Pd1 0.333 0.667 0.671 1
Cu1 0.000 0.000 0.000 1
Pt3 0.333 0.667 0.156 1
Pd2 0.667 0.333 0.329 1
```


A relaxed structure of NdHoSi2, computed with PBE-GGA.

Summary:
size of the total moment = 0.002 μB/cell
DFT total energy = -5.83 eV per atom
polymorph energy (0 for the lowest one) = 9.3 meV/atom

Geometry as CIF:
```
data_NdHoSi2
_chemical_formula_sum 'Nd2 Ho2 Si4'
_space_group_name_H-M_alt 'P 1'
_space_group_IT_number 1
_space_group_name_Hall 'P 1'
_cell_length_a 5.805
_cell_length_b 3.881
_cell_length_c 8.070
_cell_angle_alpha 90.00
_cell_angle_beta 90.62
_cell_angle_gamma 90.00
loop_
_atom_site_label
_atom_site_fract_x
_atom_site_fract_y
_atom_site_fract_z
_atom_site_occupancy
Ho1 0.614 0.250 0.822 1
Nd1 0.885 0.250 0.320 1
Si1 0.129 0.250 0.966 1
Si2 0.871 0.750 0.034 1
Si3 0.377 0.250 0.460 1
Si4 0.623 0.750 0.540 1
Nd2 0.115 0.750 0.680 1
Ho2 0.386 0.750 0.178 1
```